1.
Computed, not measured: an optimized crystal structure of Fe11MoC4 at the PBE level of DFT.

Properties
Distance to the lowest polymorph of the same formula (eV per atom): 0.1269
Formation enthalpy at 0 K (meV/atom): 191
N(E_F) (states/eV/atom): 0.98
Total magnetic moment (μB per atom): 1.28

Lattice parameters (Å, degrees): 2.922 5.694 10.029 90.00 90.00 90.00
Last column: magnetic moment on the atom in μB.
Element x y z (fractional)
Fe (0.750, 0.244, 0.311)  2.03
Fe (0.750, 0.244, 0.689)  2.03
Fe (0.250, 0.000, 0.179)  1.70
Fe (0.750, 0.756, 0.311)  2.03
Fe (0.250, 0.000, 0.500)  1.60
Fe (0.750, 0.260, 0.000)  2.02
Fe (0.250, 0.500, 0.815)  1.92
Fe (0.250, 0.000, 0.821)  1.70
Fe (0.250, 0.500, 0.185)  1.92
Fe (0.750, 0.756, 0.689)  2.03
Fe (0.750, 0.740, 0.000)  2.02
Mo (0.250, 0.500, 0.500)  0.21
C (0.750, 0.230, 0.500)  -0.11
C (0.250, 0.000, 0.000)  -0.15
C (0.750, 0.770, 0.500)  -0.11
C (0.250, 0.500, 0.000)  -0.15



2.
Computed, not measured: an optimized crystal structure of Zr2HgPt9 at the PBE level of DFT.

Properties
Formation enthalpy at 0 K (meV/atom): -720
N(E_F) (states/eV/atom): 0.90
Total magnetic moment (μB per atom): 0.00

Lattice parameters (Å, degrees): 4.054 4.054 12.211 90.00 90.00 90.00
Element x y z (fractional)
Pt (0.500, 0.500, 0.336)
Pt (0.500, 0.000, 0.500)
Pt (0.000, 0.500, 0.173)
Pt (0.000, 0.500, 0.500)
Pt (0.000, 0.500, 0.827)
Pt (0.500, 0.500, 0.000)
Pt (0.500, 0.500, 0.664)
Pt (0.500, 0.000, 0.173)
Pt (0.500, 0.000, 0.827)
Zr (0.000, 0.000, 0.331)
Zr (0.000, 0.000, 0.669)
Hg (0.000, 0.000, 0.000)



3.
Computed, not measured: an optimized crystal structure of Rb2Ag3Br8 at the PBE level of DFT.

Properties
Distance to the lowest polymorph of the same formula (eV per atom): 0.0422
Formation energy from raw total energies (eV per formula unit): -8.3
N(E_F) (states/eV/atom): 1.15
Total magnetic moment (μB per atom): 0.00

Lattice parameters (Å, degrees): 6.904 8.871 9.342 118.35 106.84 90.00
Element x y z (fractional)
Ag (0.000, 0.731, 0.000)
Ag (0.500, 0.000, 0.000)
Ag (0.000, 0.269, 0.000)
Br (0.620, 0.129, 0.810)
Br (0.380, 0.319, 0.190)
Br (0.620, 0.681, 0.810)
Br (0.876, 0.099, 0.198)
Br (0.999, 0.382, 0.764)
Br (0.001, 0.618, 0.236)
Br (0.380, 0.871, 0.190)
Br (0.124, 0.901, 0.802)
Rb (0.657, 0.729, 0.458)
Rb (0.343, 0.271, 0.542)



4.
Computed, not measured: an optimized crystal structure of WSe2 at the PBE level of DFT.

Properties
Formation energy from raw total energies (eV per formula unit): 5.1
N(E_F) (states/eV/atom): 1.16
Total magnetic moment (μB per atom): 0.00

Lattice parameters (Å, degrees): 5.371 5.371 5.371 60.00 60.00 60.00
Element x y z (fractional)
W (0.500, 0.500, 0.500)
W (0.750, 0.750, 0.750)
Se (0.125, 0.125, 0.125)
Se (0.125, 0.625, 0.125)
Se (0.125, 0.125, 0.625)
Se (0.625, 0.125, 0.125)



5.
Computed, not measured: an optimized crystal structure of TaTeRu2 at the PBE level of DFT.

Properties
Formation energy from raw total energies (eV per formula unit): 0.5
N(E_F) (states/eV/atom): 0.71
Total magnetic moment (μB per atom): 0.00

Lattice parameters (Å, degrees): 4.664 4.664 3.150 90.00 90.00 100.75
Element x y z (fractional)
Ta (0.500, 0.000, 0.500)
Ru (0.500, 0.500, 0.000)
Ru (0.000, 0.000, 0.000)
Te (0.000, 0.500, 0.500)



6.
Computed, not measured: an optimized crystal structure of NpU2Ga at the PBE level of DFT.

Properties
Distance to the lowest polymorph of the same formula (eV per atom): 0.0432
Formation enthalpy at 0 K (meV/atom): 130
N(E_F) (states/eV/atom): 2.55
Total magnetic moment (μB per atom): 0.44

Lattice parameters (Å, degrees): 9.464 5.649 5.649 99.50 122.30 122.30
Last column: magnetic moment on the atom in μB.
Element x y z (fractional)
Ga (0.250, 0.172, 0.828)  -0.02
Ga (0.750, 0.828, 0.172)  -0.02
Np (0.750, 0.475, 0.525)  2.01
Np (0.250, 0.525, 0.475)  2.01
U (0.387, 0.149, 0.433)  -0.13
U (0.113, 0.567, 0.851)  -0.13
U (0.613, 0.851, 0.567)  -0.13
U (0.887, 0.433, 0.149)  -0.13



7.
Computed, not measured: an optimized crystal structure of AcTb6NdTm2 at the PBE level of DFT.

Properties
Formation enthalpy at 0 K (meV/atom): 129
N(E_F) (states/eV/atom): 1.47
Total magnetic moment (μB per atom): 0.00

Lattice parameters (Å, degrees): 9.593 8.905 8.905 117.10 92.70 92.70
Element x y z (fractional)
Nd (0.250, 0.410, 0.590)
Nd (0.750, 0.590, 0.410)
Tm (0.049, 0.311, 0.200)
Tm (0.951, 0.689, 0.800)
Tm (0.549, 0.200, 0.311)
Tm (0.451, 0.800, 0.689)
Tb (0.323, 0.984, 0.447)
Tb (0.117, 0.709, 0.486)
Tb (0.943, 0.880, 0.249)
Tb (0.677, 0.016, 0.553)
Tb (0.823, 0.447, 0.984)
Tb (0.617, 0.486, 0.709)
Tb (0.177, 0.553, 0.016)
Tb (0.443, 0.249, 0.880)
Tb (0.557, 0.751, 0.120)
Tb (0.057, 0.120, 0.751)
Tb (0.383, 0.514, 0.291)
Tb (0.883, 0.291, 0.514)
Ac (0.250, 0.966, 0.034)
Ac (0.750, 0.034, 0.966)



8.
Computed, not measured: an optimized crystal structure of LaZnSiBr at the PBE level of DFT.

Properties
Formation energy from raw total energies (eV per formula unit): -3.8
Total magnetic moment (μB per atom): 0.00

Lattice parameters (Å, degrees): 4.280 4.280 14.254 81.36 81.36 60.00
Element x y z (fractional)
Si (0.628, 0.628, 0.115)
Si (0.372, 0.372, 0.885)
Zn (0.310, 0.310, 0.071)
Zn (0.690, 0.690, 0.929)
Br (0.790, 0.790, 0.630)
Br (0.210, 0.210, 0.370)
La (0.921, 0.921, 0.236)
La (0.079, 0.079, 0.764)